# 1
{"formula": "SrZnCr", "functional": "SCAN", "state": "single point on PBEsol structure", "lattice_angstrom": [[3.5119, 0.0000, 0.0000], [0.0000, 3.5119, 0.0000], [-1.7559, -1.7559, 5.5654]], "species": ["Cr", "Sr", "Zn"], "fractional_positions": [[0.9557, 0.9557, 0.9114], [0.6697, 0.6697, 0.3394], [0.3746, 0.3746, 0.7492]], "magnetic_moment_mub_per_fu": 4.24, "space_group": "I4mm, No. 107"}



# 2
{"formula": "ReSbRu", "functional": "SCAN", "state": "single point on PBEsol structure", "lattice_angstrom": [[4.2549, 0.0000, 0.0000], [2.1274, 3.6848, 0.0000], [2.1274, 1.2283, 3.4741]], "species": ["Re", "Ru", "Sb"], "fractional_positions": [[0.5000, 0.5000, 0.5000], [0.2500, 0.2500, 0.2500], [0.0000, 0.0000, 0.0000]], "e_above_lowest_polymorph_mev_per_atom": 0, "magnetic_moment_mub_per_fu": 0.00, "space_group": "F-43m, No. 216", "formation_energy_uncorrected_mev_per_atom": 337.3}



What total energy values result from the calculations? In sequence: -17.874; -47.391 eV/atom.